## Ni2HgIr (meta-GGA SCAN)

Data for Ni2HgIr at its PBEsol-relaxed geometry.

Computed properties:
Formation energy from the elements in eV per atom: 0.374
Raw total energy in eV per cell: -170.12
Total magnetic moment in μB/f.u.: 1.8

a b c (Å): 3.9141 3.9141 3.5446
angles (deg): 90.00 90.00 90.00
Atoms (fractional coordinates):
Ni 0.0000 0.5000 0.0000
Ni 0.5000 0.0000 0.0000
Hg 0.0000 0.0000 0.5000
Ir 0.5000 0.5000 0.5000

## NaLa2Y (meta-GGA SCAN)

Data for NaLa2Y at its PBEsol-relaxed geometry.

Computed properties:
Formation energy from the elements in eV per atom: 0.247
Raw total energy in eV per cell: -117.28
Total magnetic moment in μB/f.u.: 0.0

a b c (Å): 5.7388 5.7388 5.7388
angles (deg): 60.00 60.00 60.00
Atoms (fractional coordinates):
Na 0.0000 0.0000 0.0000
La 0.2500 0.2500 0.2500
La 0.7500 0.7500 0.7500
Y 0.5000 0.5000 0.5000

## Y2O3 (meta-GGA SCAN)

Data for Y2O3 at its PBEsol-relaxed geometry.

Computed properties:
Raw total energy in eV per cell: -563.25
Energy relative to the elements, uncorrected in eV per atom: -3.899
Total magnetic moment in μB/f.u.: 0.0

a b c (Å): 8.4873 3.4495 14.2110
angles (deg): 90.00 98.75 90.00
Atoms (fractional coordinates):
Y 0.0058 0.2500 0.1078
Y 0.0446 0.7500 0.6161
Y 0.3168 0.2500 0.4918
Y 0.3184 0.2500 0.7848
Y 0.3209 0.7500 0.2804
Y 0.3680 0.2500 0.0634
Y 0.6320 0.7500 0.9366
Y 0.6791 0.2500 0.7196
Y 0.6816 0.7500 0.2152
Y 0.6832 0.7500 0.5082
Y 0.9554 0.2500 0.3839
Y 0.9942 0.7500 0.8922
O 0.1202 0.7500 0.4681
O 0.1264 0.2500 0.9639
O 0.1539 0.7500 0.7828
O 0.1805 0.2500 0.3141
O 0.2022 0.7500 0.1280
O 0.2176 0.2500 0.6305
O 0.4373 0.7500 0.4290
O 0.4678 0.2500 0.9266
O 0.4866 0.2500 0.2285
O 0.5134 0.7500 0.7715
O 0.5322 0.7500 0.0734
O 0.5627 0.2500 0.5710
O 0.7824 0.7500 0.3695
O 0.7978 0.2500 0.8720
O 0.8195 0.7500 0.6859
O 0.8461 0.2500 0.2172
O 0.8736 0.7500 0.0361
O 0.8798 0.2500 0.5319